The following is a DFT calculation (PBE-GGA) of a relaxed Ca2V2Hg crystal.

Values from the calculation:
Total magnetic moment in μB/cell: 0.00
Space-group type: P4/mbm (127)
DFT total energy in eV/atom: -4.00

```
Ca2V2Hg
1.0
8.974 0.000 0.000
0.000 8.974 0.000
0.000 0.000 3.361
Ca V Hg
4 4 2
direct
0.208 0.292 0.000
0.292 0.792 0.000
0.708 0.208 0.000
0.792 0.708 0.000
0.072 0.572 0.500
0.428 0.072 0.500
0.572 0.928 0.500
0.928 0.428 0.500
0.000 0.000 0.000
0.500 0.500 0.000
```